1.
A geometry-optimized Er5TmCd4 structure. Source: Alexandria via LeMat-Bulk, functional GGA-PBE.

```
Er5TmCd4
1.0
3.617 0.000 0.000
0.000 3.617 0.000
0.000 0.000 20.461
Er Tm Cd
5 1 4
Direct
0.000 0.000 0.000
0.000 0.000 0.188
0.000 0.000 0.382
0.000 0.000 0.618
0.000 0.000 0.812
0.500 0.500 0.500
0.500 0.500 0.094
0.500 0.500 0.284
0.500 0.500 0.716
0.500 0.500 0.906
```

2.
A geometry-optimized Er6Tm3Cd structure. Source: Alexandria via LeMat-Bulk, functional GGA-PBE.

```
Er6Tm3Cd
1.0
4.405 -7.524 0.000
4.405 7.524 0.000
0.000 0.000 9.155
Er Tm Cd
12 6 2
Direct
0.061 0.939 0.500
0.082 0.292 0.678
0.111 0.507 0.992
0.278 0.722 0.657
0.292 0.082 0.178
0.493 0.889 0.992
0.507 0.111 0.492
0.708 0.918 0.678
0.722 0.278 0.157
0.889 0.493 0.492
0.918 0.708 0.178
0.939 0.061 0.000
0.094 0.302 0.310
0.302 0.094 0.810
0.499 0.501 0.491
0.501 0.499 0.991
0.698 0.906 0.310
0.906 0.698 0.810
0.275 0.725 0.306
0.725 0.275 0.806
```

3.
A geometry-optimized ErTm7Cd4 structure. Source: Alexandria via LeMat-Bulk, functional GGA-PBE.

```
ErTm7Cd4
1.0
7.253 -2.820 0.000
7.253 2.820 0.000
-5.064 0.000 8.156
Er Tm Cd
1 7 4
Direct
0.000 0.000 0.000
0.073 0.073 0.415
0.207 0.207 0.881
0.260 0.260 0.303
0.500 0.500 0.000
0.740 0.740 0.697
0.793 0.793 0.119
0.927 0.927 0.585
0.319 0.319 0.659
0.458 0.458 0.290
0.542 0.542 0.710
0.681 0.681 0.341
```

The M_tot results, record by record, are as follows: 0.0 0.0 0.0 μB per formula unit.
The formation energy results, record by record, are as follows: -2.36 0.91 0.42 eV/f.u..